1.
A PBEsol-optimized structure of Rb2TaBr. Source: Alexandria via LeMat-Bulk, functional meta-GGA SCAN.

Values from the calculation:
Density   3.5 g/cm³
ΔE_f (raw)   0.6762 eV per atom
Total moment   3.90 μB per formula unit
Fermi-level density of states   7.70 states/eV per cell

Lattice parameters (Å, degrees): 12.748 12.748 5.003 90.00 90.00 90.00
Space group I-42d (No. 122)
Unique sites:
Rb  0.088  0.750  0.125 [8 per cell]
Ta  0.000  0.000  0.500 [4 per cell]
Br  0.000  0.000  0.000 [4 per cell]



2.
A PBEsol-optimized structure of RbTa2TiBr. Source: Alexandria via LeMat-Bulk, functional meta-GGA SCAN.

Values from the calculation:
Density   8.7 g/cm³
ΔE_f (raw)   3.1852 eV per atom
Total moment   0.00 μB per formula unit
Fermi-level density of states   4.31 states/eV per cell

Lattice parameters (Å, degrees): 4.911 4.911 4.576 90.00 90.00 90.00
Space group P4/mmm (No. 123)
Unique sites:
Rb  0.000  0.000  0.000 [1 per cell]
Ta  0.000  0.500  0.000 [2 per cell]
Ti  0.000  0.000  0.500 [1 per cell]
Br  0.500  0.500  0.500 [1 per cell]



3.
A PBEsol-optimized structure of RbTc2Br. Source: Alexandria via LeMat-Bulk, functional meta-GGA SCAN.

Values from the calculation:
Density   8.6 g/cm³
ΔE_f (raw)   2.2217 eV per atom
Total moment   2.51 μB per formula unit
Fermi-level density of states   15.10 states/eV per cell

Lattice parameters (Å, degrees): 6.538 6.538 6.538 90.00 90.00 90.00
Space group Fm-3m (No. 225)
Unique sites:
Rb  0.000  0.000  0.000 [4 per cell]
Tc  0.250  0.250  0.250 [8 per cell]
Br  0.000  0.000  0.500 [4 per cell]



4.
A PBEsol-optimized structure of RbTc3Br. Source: Alexandria via LeMat-Bulk, functional meta-GGA SCAN.

Values from the calculation:
Density   7.4 g/cm³
ΔE_f (raw)   1.9320 eV per atom
Total moment   3.52 μB per formula unit
Fermi-level density of states   2.47 states/eV per cell

Lattice parameters (Å, degrees): 4.680 4.680 4.680 90.00 90.00 90.00
Space group Pm-3m (No. 221)
Unique sites:
Rb  0.000  0.000  0.000 [1 per cell]
Tc  0.000  0.500  0.500 [3 per cell]
Br  0.500  0.500  0.500 [1 per cell]



The following final energy values (in eV per cell) correspond, in order, to the records above: -499.3, -173.5, -405.7, -135.7.